[1]
A relaxed structure of SrLiGePd. Source: Alexandria via LeMat-Bulk, functional PBE.

Properties
As for the volume: 22.5 Å³ per atom. The calculation puts the density of states at the Fermi level at 0.54 states/eV per atom. As for the energy above the lowest structure with this stoichiometry: 0.000 eV/atom. The electronic total energy comes out at -3.949 eV per atom. For the energy relative to the elements, the calculation gives -597.6 meV/atom. The theoretical density is 5053 kg/m3.

Unit cell a=4.418 b=4.419 c=5.897 alpha=111.99 beta=90.00 gamma=119.99
Fractional coordinates of all 4 atoms:
Sr (0.624, 0.248, 0.514)
Ge (0.101, 0.202, 0.945)
Pd (0.427, 0.853, 0.922)
Li (0.815, 0.630, 0.087)

***

[2]
A relaxed structure of Dy3YTm6. Source: Alexandria via LeMat-Bulk, functional PBE.

Properties
As for the volume: 31.1 Å³ per atom. The calculation puts the density of states at the Fermi level at 1.57 states/eV per atom. As for the energy above the lowest structure with this stoichiometry: 0.000 eV/atom. The electronic total energy comes out at -4.586 eV per atom. For the energy relative to the elements, the calculation gives 124.2 meV/atom. The theoretical density is 8501 kg/m3.

Unit cell a=6.310 b=11.422 c=11.422 alpha=131.01 beta=90.00 gamma=90.00
Fractional coordinates of all 20 atoms:
Tm (0.830, 0.895, 0.457)
Tm (0.067, 0.744, 0.621)
Tm (0.830, 0.543, 0.105)
Tm (0.567, 0.256, 0.379)
Tm (0.330, 0.457, 0.895)
Tm (0.567, 0.621, 0.744)
Tm (0.288, 0.697, 0.303)
Tm (0.788, 0.303, 0.697)
Tm (0.067, 0.379, 0.256)
Tm (0.316, 0.986, 0.014)
Tm (0.816, 0.014, 0.986)
Tm (0.330, 0.105, 0.543)
Dy (0.989, 0.703, 0.958)
Dy (0.489, 0.958, 0.703)
Dy (0.489, 0.297, 0.042)
Dy (0.095, 0.421, 0.579)
Dy (0.989, 0.042, 0.297)
Dy (0.595, 0.579, 0.421)
Y (0.514, 0.838, 0.162)
Y (0.014, 0.162, 0.838)

***

[3]
A relaxed structure of SrBeRe2. Source: Alexandria via LeMat-Bulk, functional PBE.

Properties
As for the volume: 17.0 Å³ per atom. The calculation puts the density of states at the Fermi level at 1.03 states/eV per atom. The electronic total energy comes out at -6.788 eV per atom. For the energy relative to the elements, the calculation gives 787.8 meV/atom. The theoretical density is 11480 kg/m3.

Unit cell a=9.393 b=9.393 c=9.393 alpha=17.83 beta=17.83 gamma=17.83
Fractional coordinates of all 4 atoms:
Re (0.005, 0.005, 0.005)
Re (0.264, 0.264, 0.264)
Be (0.736, 0.736, 0.736)
Sr (0.495, 0.495, 0.495)

***

[4]
A relaxed structure of LaV3Ru. Source: Alexandria via LeMat-Bulk, functional PBE.

Properties
As for the volume: 18.2 Å³ per atom. The calculation puts the density of states at the Fermi level at 1.63 states/eV per atom. As for the energy above the lowest structure with this stoichiometry: 1.324 eV/atom. The electronic total energy comes out at -6.456 eV per atom. For the energy relative to the elements, the calculation gives 1856.2 meV/atom. The theoretical density is 7174 kg/m3.

Unit cell a=4.497 b=4.497 c=4.497 alpha=90.00 beta=90.00 gamma=90.00
Fractional coordinates of all 5 atoms:
V (0.500, 0.000, 0.000)
V (0.000, 0.500, 0.000)
V (0.000, 0.000, 0.500)
Ru (0.500, 0.500, 0.500)
La (0.000, 0.000, 0.000)

***

[5]
A relaxed structure of TaTi6Ga3. Source: Alexandria via LeMat-Bulk, functional PBE.

Properties
As for the volume: 17.0 Å³ per atom. The calculation puts the density of states at the Fermi level at 1.01 states/eV per atom. The electronic total energy comes out at -7.038 eV per atom. For the energy relative to the elements, the calculation gives -207.6 meV/atom. The theoretical density is 6631 kg/m3.

Unit cell a=6.488 b=7.233 c=7.233 alpha=91.92 beta=90.00 gamma=90.00
Fractional coordinates of all 20 atoms:
Ta (0.399, 0.641, 0.359)
Ta (0.899, 0.359, 0.641)
Ga (0.398, 0.372, 0.628)
Ga (0.898, 0.628, 0.372)
Ga (0.899, 0.135, 0.124)
Ga (0.399, 0.865, 0.876)
Ga (0.399, 0.124, 0.135)
Ga (0.899, 0.876, 0.865)
Ti (0.665, 0.832, 0.168)
Ti (0.149, 0.333, 0.332)
Ti (0.398, 0.501, 0.996)
Ti (0.898, 0.499, 0.004)
Ti (0.649, 0.667, 0.668)
Ti (0.133, 0.832, 0.168)
Ti (0.649, 0.332, 0.333)
Ti (0.149, 0.668, 0.667)
Ti (0.165, 0.168, 0.832)
Ti (0.633, 0.168, 0.832)
Ti (0.898, 0.996, 0.501)
Ti (0.398, 0.004, 0.499)

***

[6]
A relaxed structure of SrYGa6. Source: Alexandria via LeMat-Bulk, functional PBE.

Properties
As for the volume: 21.6 Å³ per atom. The calculation puts the density of states at the Fermi level at 0.28 states/eV per atom. The electronic total energy comes out at -3.697 eV per atom. For the energy relative to the elements, the calculation gives -408.8 meV/atom. The theoretical density is 5727 kg/m3.

Unit cell a=4.409 b=6.025 c=6.494 alpha=90.00 beta=90.00 gamma=90.00
Fractional coordinates of all 8 atoms:
Ga (0.500, 0.868, 0.282)
Ga (0.500, 0.868, 0.718)
Ga (0.000, 0.150, 0.739)
Ga (0.500, 0.206, 0.000)
Ga (0.000, 0.745, 0.500)
Ga (0.000, 0.150, 0.261)
Sr (0.000, 0.625, 0.000)
Y (0.500, 0.388, 0.500)